VASP calculation (GGA-PBE) on an optimized crystal structure of LaAlGa2Pt.

Results
Total moment = 0.0000 μB/atom
Formation energy = -0.88 eV/atom
Theoretical density = 8.17 g/cm3
DFT total energy = -5.03 eV per atom

Unit cell a=4.3001 b=4.3905 c=6.2013 alpha=110.73 beta=110.29 gamma=90.00
Closest atoms and distances in Å follow each position.
Element x y z (fractional)
Pt (0.8140, 0.8140, 0.6280)  2 Al 2.49, 3 Ga 2.51-2.53
Ga (0.6964, 0.1964, 0.3927)  2 Pt 2.53, 2 Ga 2.69
La (0.4578, 0.4578, 0.9155)  8 Ga 3.22-3.54, 4 Al 3.36-3.56, 4 Pt 3.44
Al (0.1974, 0.6974, 0.3947)  2 Pt 2.49, 2 Ga 2.73
Ga (0.0467, 0.0467, 0.0933)  1 Pt 2.51, 2 Ga 2.69, 2 Al 2.73



VASP calculation (GGA-PBE) on an optimized crystal structure of NaHg2Pt2.

Results
Total moment = 0.0000 μB/atom
Formation energy = -0.15 eV/atom
Theoretical density = 13.50 g/cm3
Polymorph energy (0 for the lowest one) = 0.0 meV per atom
DFT total energy = -2.95 eV per atom

Unit cell a=8.1162 b=8.1162 c=3.0402 alpha=90.00 beta=90.00 gamma=90.00
Closest atoms and distances in Å follow each position.
Element x y z (fractional)
Hg (0.3250, 0.1750, 0.5000)  6 Pt 2.77-2.89, 2 Hg 3.04
Pt (0.3771, 0.8771, 0.0000)  6 Hg 2.77-2.89, 3 Pt 2.82-3.04
Pt (0.1229, 0.3771, 0.0000)  6 Hg 2.77-2.89, 3 Pt 2.82-3.04
Na (0.0000, 0.0000, 0.0000)  2 Na 3.04, 4 Pt 3.22, 8 Hg 3.36
Pt (0.8771, 0.6229, 0.0000)  6 Hg 2.77-2.89, 3 Pt 2.82-3.04
Hg (0.1750, 0.6750, 0.5000)  6 Pt 2.77-2.89, 2 Hg 3.04
Pt (0.6229, 0.1229, 0.0000)  6 Hg 2.77-2.89, 3 Pt 2.82-3.04
Hg (0.8250, 0.3250, 0.5000)  6 Pt 2.77-2.89, 2 Hg 3.04
Na (0.5000, 0.5000, 0.0000)  2 Na 3.04, 4 Pt 3.22, 8 Hg 3.36
Hg (0.6750, 0.8250, 0.5000)  6 Pt 2.77-2.89, 2 Hg 3.04



VASP calculation (GGA-PBE) on an optimized crystal structure of Tc2MoPt.

Results
Total moment = 0.0000 μB/atom
Formation energy = 0.09 eV/atom
Theoretical density = 13.16 g/cm3
Polymorph energy (0 for the lowest one) = 256.8 meV per atom
DFT total energy = -9.31 eV per atom

Unit cell a=3.2966 b=3.2966 c=5.6555 alpha=90.00 beta=90.00 gamma=90.00
Closest atoms and distances in Å follow each position.
Element x y z (fractional)
Tc (0.5000, 0.5000, 0.2386)  4 Tc 2.64, 4 Mo 2.73, 2 Pt 2.76-2.89
Tc (0.0000, 0.0000, 0.0210)  4 Tc 2.64, 1 Mo 2.65, 4 Pt 2.79
Mo (0.0000, 0.0000, 0.4904)  5 Tc 2.65-2.73, 4 Pt 2.75
Pt (0.5000, 0.5000, 0.7500)  4 Mo 2.75, 6 Tc 2.76-2.89